Entry 1:
VASP calculation (GGA-PBE) on a relaxed structure of Mg4Ta5.

Distance to the lowest polymorph of the same formula in eV per atom: 0.000
DFT formation energy in meV/atom: 252.5
Space group: I4/mmm

abc: 6.7124 6.7124 6.7124
angles: 95.49 95.49 143.98
Atoms (fractional coordinates):
Mg 0.6696 0.0000 0.6696
Mg 0.3304 0.0000 0.3304
Mg 0.0000 0.3304 0.3304
Mg 0.0000 0.6696 0.6696
Ta 0.0000 0.0000 0.0000
Ta 0.6641 0.3359 0.0000
Ta 0.3359 0.6641 0.0000
Ta 0.3359 0.3359 0.6718
Ta 0.6641 0.6641 0.3282

Entry 2:
VASP calculation (GGA-PBE) on a relaxed structure of MgTa.

DFT formation energy in meV/atom: 1507.1
Space group: I-43m

abc: 8.9714 8.9714 8.9714
angles: 90.00 90.00 90.00
Atoms (fractional coordinates):
Mg 0.1989 0.1989 0.1989
Mg 0.1989 0.8011 0.8011
Mg 0.8011 0.1989 0.8011
Mg 0.8011 0.8011 0.1989
Mg 0.6989 0.6989 0.6989
Mg 0.6989 0.3011 0.3011
Mg 0.3011 0.6989 0.3011
Mg 0.3011 0.3011 0.6989
Ta 0.3974 0.3974 0.3974
Ta 0.3974 0.6026 0.6026
Ta 0.6026 0.3974 0.6026
Ta 0.6026 0.6026 0.3974
Ta 0.8974 0.8974 0.8974
Ta 0.8974 0.1026 0.1026
Ta 0.1026 0.8974 0.1026
Ta 0.1026 0.1026 0.8974

Entry 3:
VASP calculation (GGA-PBE) on a relaxed structure of Mg8Ta.

Distance to the lowest polymorph of the same formula in eV per atom: 0.004
DFT formation energy in meV/atom: 170.0
Space group: I4/mmm

abc: 6.9120 6.9120 6.9120
angles: 96.29 96.29 141.36
Atoms (fractional coordinates):
Mg 0.6592 0.3408 0.0000
Mg 0.3408 0.6592 0.0000
Mg 0.0000 0.6739 0.6739
Mg 0.3408 0.3408 0.6816
Mg 0.6739 0.0000 0.6739
Mg 0.6592 0.6592 0.3184
Mg 0.0000 0.3261 0.3261
Mg 0.3261 0.0000 0.3261
Ta 0.0000 0.0000 0.0000

Entry 4:
VASP calculation (GGA-PBE) on a relaxed structure of MgTa2.

Distance to the lowest polymorph of the same formula in eV per atom: 0.403
DFT formation energy in meV/atom: 656.8
Space group: Imma

abc: 9.5418 9.5418 9.5418
angles: 162.77 150.81 34.10
Atoms (fractional coordinates):
Mg 0.8647 0.6147 0.2500
Mg 0.1353 0.3853 0.7500
Ta 0.2895 0.0395 0.2500
Ta 0.7105 0.9605 0.7500
Ta 0.4365 0.1865 0.2500
Ta 0.5635 0.8135 0.7500

What are the DOS at the Fermi energy values for these records? In order: 0.690; 0.936; 0.535; 1.129 states/eV per atom.
What are the E values for these records? In order: -7.041; -5.217; -2.564; -7.776 eV per atom.